DFT (PBE with a Hubbard U) results for a relaxed BaMnAs2O8 crystal.

Summary:
**Total magnetic moment**: 3.0 μB/f.u.
**Total DFT energy (no corrections)**: -228.35 eV for the cell shown

abc: 4.9772 4.9772 24.7981
angles: 90.00 90.00 120.00
Last column: nearest neighbours and their distance in Å.
Space group R32 (No. 155, hexagonal axes)
One atom of each set of equivalent atoms:
Ba1 0.0000 0.0000 0.0000 (multiplicity 3)  6 O 2.95
Mn1 0.0000 0.0000 0.5000 (multiplicity 3)  6 O 1.99
As1 0.0000 0.0000 0.2376 (multiplicity 6)  4 O 1.71-1.73
O1 0.0000 0.0000 0.3064 (multiplicity 6)  1 As 1.71
O2 0.0198 0.3759 0.1145 (multiplicity 18)  1 As 1.73